Version w
An optimized crystal structure of SrMo2Rh, computed with GGA-PBE.

Calculated values
Total moment ... 0.000 μB/atom

Cell lengths 5.0164, 5.0164, 2.8823 Å; angles 90.00, 90.00, 90.00 degrees
Last column: nearest neighbours and their distance in Å.
Positions (direct):
Mo1 0.5000 0.5000 0.0000  2 Mo 2.88, 4 Rh 2.89, 4 Sr 2.89
Mo2 0.0000 0.0000 0.0000  2 Mo 2.88, 4 Rh 2.89, 4 Sr 2.89
Sr1 0.0000 0.5000 0.5000  2 Sr 2.88, 8 Mo 2.89
Rh1 0.5000 0.0000 0.5000  2 Rh 2.88, 8 Mo 2.89

***

Version x
An optimized crystal structure of SrMo2Rh, computed with GGA-PBE.

Calculated values
Total moment ... 0.000 μB/atom

Cell lengths 3.2570, 3.2570, 7.5041 Å; angles 90.00, 90.00, 90.00 degrees
Last column: nearest neighbours and their distance in Å.
Positions (direct):
Mo1 0.0000 0.0000 0.0722  4 Mo 2.62, 1 Rh 2.85
Mo2 0.5000 0.5000 0.2385  4 Mo 2.62, 4 Rh 2.81
Sr1 0.5000 0.5000 0.7374  4 Rh 3.15, 4 Sr 3.26, 4 Mo 3.41
Rh1 0.0000 0.0000 0.4519  5 Mo 2.81-2.85

***

On energetic grounds, version x is preferred over the next structure by 730 meV/atom.

***

Version w
An optimized crystal structure of SrMo2Rh, computed with GGA-PBE.

Calculated values
Total moment ... 0.000 μB/atom

Cell lengths 5.6532, 5.6532, 2.7844 Å; angles 90.00, 90.00, 123.42 degrees
Last column: nearest neighbours and their distance in Å.
Positions (direct):
Mo1 0.5000 0.5000 0.0000  4 Mo 2.68-2.78
Mo2 0.0000 0.0000 0.0000  4 Mo 2.68-2.78
Sr1 0.0000 0.5000 0.5000  2 Rh 2.68, 2 Sr 2.78
Rh1 0.5000 0.0000 0.5000  2 Sr 2.68, 2 Rh 2.78

***

Version x
An optimized crystal structure of SrMo2Rh, computed with GGA-PBE.

Calculated values
Total moment ... 0.000 μB/atom

Cell lengths 5.6129, 5.6129, 5.6129 Å; angles 146.92, 123.73, 66.85 degrees
Last column: nearest neighbours and their distance in Å.
Positions (direct):
Rh1 0.5273 0.5273 0.0000  2 Mo 2.73, 2 Sr 3.05
Sr1 0.2495 0.7495 0.5000  4 Rh 3.05-3.37, 8 Mo 3.09-3.30, 2 Sr 3.20
Mo1 0.9591 0.9591 0.0000  2 Mo 2.43
Mo2 0.7640 0.2640 0.5000  2 Mo 2.43

***

On energetic grounds, version x is preferred over the next structure by 172 meV/atom.

***

Version w
An optimized crystal structure of SrMo2Rh, computed with GGA-PBE.

Calculated values
Total moment ... 0.000 μB/atom

Cell lengths 4.6979, 4.6824, 4.6979 Å; angles 119.99, 120.10, 90.01 degrees
Last column: nearest neighbours and their distance in Å.
Positions (direct):
Sr1 0.7500 0.2501 0.5001  4 Mo 2.87-2.88, 4 Rh 2.87
Mo1 0.0000 0.0009 0.0009  4 Mo 2.86-2.88, 4 Sr 2.87-2.88
Mo2 0.2500 0.7499 0.4999  4 Mo 2.86-2.88, 4 Rh 2.86-2.88
Rh1 0.5000 0.4991 0.9991  4 Mo 2.86-2.88, 4 Sr 2.87

***

Version x
An optimized crystal structure of SrMo2Rh, computed with GGA-PBE.

Calculated values
Total moment ... 0.000 μB/atom

Cell lengths 5.7193, 5.7193, 2.8124 Å; angles 82.23, 82.23, 123.50 degrees
Last column: nearest neighbours and their distance in Å.
Positions (direct):
Sr1 0.0000 0.5000 0.5000  2 Rh 2.71, 2 Sr 2.81, 4 Mo 3.01
Mo1 0.5000 0.5000 0.0000  4 Mo 2.71-2.81, 2 Rh 3.01, 2 Sr 3.01
Mo2 0.0000 0.0000 0.0000  4 Mo 2.71-2.81, 2 Sr 3.01, 2 Rh 3.01
Rh1 0.5000 0.0000 0.5000  2 Sr 2.71, 2 Rh 2.81, 4 Mo 3.01

***

Version y
An optimized crystal structure of SrMo2Rh, computed with GGA-PBE.

Calculated values
Total moment ... 0.000 μB/atom

Cell lengths 5.4464, 5.4464, 5.3237 Å; angles 77.53, 77.53, 33.75 degrees
Last column: nearest neighbours and their distance in Å.
Positions (direct):
Sr1 0.2500 0.2500 0.2500  4 Rh 3.10, 2 Sr 3.16, 2 Mo 3.26
Mo1 0.0339 0.0339 0.8921  2 Mo 2.40
Mo2 0.4661 0.4661 0.6079  2 Mo 2.40
Rh1 0.7500 0.7500 0.7500  4 Mo 2.72

***

On energetic grounds, version y is preferred over the next structure by 245 meV/atom.

***

Version w
An optimized crystal structure of SrMo2Rh, computed with GGA-PBE.

Calculated values
Total moment ... 0.000 μB/atom

Cell lengths 4.6487, 4.6487, 4.6487 Å; angles 60.00, 60.00, 60.00 degrees
Last column: nearest neighbours and their distance in Å.
Positions (direct):
Mo1 0.7500 0.7500 0.7500  4 Rh 2.85, 4 Sr 2.85
Mo2 0.2500 0.2500 0.2500  4 Rh 2.85, 4 Sr 2.85
Sr1 0.0000 0.0000 0.0000  8 Mo 2.85
Rh1 0.5000 0.5000 0.5000  8 Mo 2.85

***

Version x
An optimized crystal structure of SrMo2Rh, computed with GGA-PBE.

Calculated values
Total moment ... 0.000 μB/atom

Cell lengths 3.0702, 3.7466, 7.3959 Å; angles 90.00, 90.00, 90.00 degrees
Last column: nearest neighbours and their distance in Å.
Positions (direct):
Sr1 0.5000 0.5000 0.7500  2 Sr 3.07
Mo1 0.0000 0.0000 0.0901  1 Mo 2.36
Mo2 0.0000 0.0000 0.4099  1 Mo 2.36
Rh1 0.5000 0.5000 0.2500  8 Mo 2.70

***

On energetic grounds, version x is preferred over the next structure by 395 meV/atom.

***

Version w
An optimized crystal structure of SrMo2Rh, computed with GGA-PBE.

Calculated values
Total moment ... 0.000 μB/atom

Cell lengths 10.4180, 10.4180, 10.4180 Å; angles 15.91, 15.91, 15.91 degrees
Last column: nearest neighbours and their distance in Å.
Positions (direct):
Sr1 0.7500 0.7500 0.7500  6 Sr 2.88
Mo1 0.5126 0.5126 0.5126  3 Rh 2.75, 6 Mo 2.88
Mo2 0.9874 0.9874 0.9874  3 Rh 2.75, 6 Mo 2.88
Rh1 0.2500 0.2500 0.2500  6 Mo 2.75, 6 Rh 2.88

***

Version x
An optimized crystal structure of SrMo2Rh, computed with GGA-PBE.

Calculated values
Total moment ... 0.000 μB/atom

Cell lengths 2.9733, 2.9733, 8.8903 Å; angles 90.00, 90.00, 103.48 degrees
Last column: nearest neighbours and their distance in Å.
Positions (direct):
Rh1 0.0000 0.0000 0.4613  2 Mo 2.57
Mo1 0.0000 0.0000 0.0469  2 Mo 2.64
Mo2 0.5000 0.5000 0.2594  2 Rh 2.57, 2 Mo 2.64
Sr1 0.5000 0.5000 0.7324  4 Sr 2.97, 2 Rh 3.03

***

On energetic grounds, version x is preferred over the next structure by 329 meV/atom.

***

Version w
An optimized crystal structure of SrMo2Rh, computed with GGA-PBE.

Calculated values
Total moment ... 0.000 μB/atom

Cell lengths 4.8064, 4.8064, 9.6466 Å; angles 75.57, 75.57, 90.00 degrees
Last column: nearest neighbours and their distance in Å.
Positions (direct):
Rh1 0.0000 0.0000 0.0000  4 Mo 2.56
Rh2 0.7500 0.2500 0.5000  4 Mo 2.56
Sr1 0.2500 0.7500 0.5000  4 Rh 3.40, 8 Mo 3.51
Sr2 0.5000 0.5000 0.0000  4 Rh 3.40, 8 Mo 3.51
Mo1 0.8752 0.1250 0.2500  2 Mo 2.40, 2 Rh 2.56
Mo2 0.3750 0.1248 0.7500  2 Mo 2.40, 2 Rh 2.56
Mo3 0.8748 0.6250 0.2500  2 Mo 2.40, 2 Rh 2.56
Mo4 0.8750 0.1252 0.7500  2 Mo 2.40, 2 Rh 2.56

***

Version x
An optimized crystal structure of SrMo2Rh, computed with GGA-PBE.

Calculated values
Total moment ... 0.000 μB/atom

Cell lengths 2.8102, 2.8102, 9.5001 Å; angles 90.00, 90.00, 92.76 degrees
Last column: nearest neighbours and their distance in Å.
Positions (direct):
Rh1 0.5000 0.5000 0.2500  8 Mo 2.73-2.80, 4 Rh 2.81
Mo1 0.0000 0.0000 0.4528  4 Rh 2.73-2.80, 4 Mo 2.81
Mo2 0.0000 0.0000 0.0472  4 Rh 2.73-2.80, 4 Mo 2.81
Sr1 0.5000 0.5000 0.7500  4 Sr 2.81

***

On energetic grounds, version x is preferred over the next structure by 280 meV/atom.

***

Version w
An optimized crystal structure of Ta4MoRh, computed with GGA-PBE.

Calculated values
Total moment ... 0.111 μB/atom

Cell lengths 5.3487, 5.3487, 5.3487 Å; angles 60.00, 60.00, 60.00 degrees
Last column: nearest neighbours and their distance in Å.
Positions (direct):
Ta1 0.3758 0.3758 0.3758  6 Ta 2.66-2.69
Ta2 0.8727 0.3758 0.3758  6 Ta 2.66-2.69
Ta3 0.3758 0.8727 0.3758  6 Ta 2.66-2.69
Ta4 0.3758 0.3758 0.8727  6 Ta 2.66-2.69
Mo1 0.7500 0.7500 0.7500  12 Ta 3.13, 4 Rh 3.28
Rh1 0.0000 0.0000 0.0000  12 Ta 3.14, 4 Mo 3.28

***

Version x
An optimized crystal structure of Ta4MoRh, computed with GGA-PBE.

Calculated values
Total moment ... 0.000 μB/atom

Cell lengths 3.2400, 3.2400, 9.7906 Å; angles 90.00, 90.00, 90.00 degrees
Last column: nearest neighbours and their distance in Å.
Positions (direct):
Ta1 0.0000 0.0000 0.6623  4 Rh 2.79, 4 Ta 2.86
Ta2 0.0000 0.0000 0.3377  4 Rh 2.79, 4 Ta 2.86
Ta3 0.5000 0.5000 0.1634  4 Mo 2.79, 4 Ta 2.86
Ta4 0.5000 0.5000 0.8366  4 Mo 2.79, 4 Ta 2.86
Mo1 0.0000 0.0000 0.0000  8 Ta 2.79
Rh1 0.5000 0.5000 0.5000  8 Ta 2.79

***

On energetic grounds, version x is preferred over the next structure by 650 meV/atom.

***

Version w
An optimized crystal structure of TaMo3Rh, computed with GGA-PBE.

Calculated values
Total moment ... 0.000 μB/atom

Cell lengths 4.6492, 4.6492, 4.6492 Å; angles 90.00, 90.00, 90.00 degrees
Last column: nearest neighbours and their distance in Å.
Positions (direct):
Mo1 0.5000 0.0000 0.0000  2 Rh 2.32
Mo2 0.0000 0.5000 0.0000  2 Rh 2.32
Mo3 0.0000 0.0000 0.5000  2 Rh 2.32
Rh1 0.0000 0.0000 0.0000  6 Mo 2.32
Ta1 0.5000 0.5000 0.5000  12 Mo 3.29

***

Version x
An optimized crystal structure of TaMo3Rh, computed with GGA-PBE.

Calculated values
Total moment ... 0.000 μB/atom

Cell lengths 4.6894, 4.6894, 4.6894 Å; angles 90.00, 90.00, 90.00 degrees
Last column: nearest neighbours and their distance in Å.
Positions (direct):
Ta1 0.0000 0.0000 0.0000  6 Mo 2.34
Rh1 0.5000 0.5000 0.5000  12 Mo 3.32
Mo1 0.0000 0.0000 0.5000  2 Ta 2.34
Mo2 0.5000 0.0000 0.0000  2 Ta 2.34
Mo3 0.0000 0.5000 0.0000  2 Ta 2.34

***

On energetic grounds, version w is preferred over the next structure by 316 meV/atom.